Record 1
Compound: BeCd
Source: the Alexandria database
Functional: PBE
Structure: relaxed

Properties
SG: I4_1/amd (141)
Total DFT energy (no corrections) in eV/f.u.: -3.57
Density in g/cm3: 6.57
ΔE to the lowest computed polymorph in eV/f.u.: 0.53
Formation energy from the elements in meV per atom: 535

Unit cell a=4.8955 b=4.8955 c=4.8955 alpha=133.15 beta=133.15 gamma=68.41
With the nearest neighbours (Å) after each atom.
Fractional positions:
1 Be 0.3750 0.6250 0.7500  8 Cd 2.75-2.81, 4 Be 2.81
2 Be 0.6250 0.3750 0.2500  8 Cd 2.75-2.81, 4 Be 2.81
3 Cd 0.1250 0.8750 0.2500  8 Be 2.75-2.81, 4 Cd 2.81
4 Cd 0.8750 0.1250 0.7500  8 Be 2.75-2.81, 4 Cd 2.81

=====

Record 2
Compound: Be3Cd
Source: the Alexandria database
Functional: PBE
Structure: relaxed

Properties
SG: Imm2 (44)
Total DFT energy (no corrections) in eV/f.u.: -10.28
Density in g/cm3: 4.91
ΔE to the lowest computed polymorph in eV/f.u.: 0.68
Formation energy from the elements in meV per atom: 453

Unit cell a=4.7325 b=4.7325 c=4.7325 alpha=147.12 beta=66.54 gamma=123.94
With the nearest neighbours (Å) after each atom.
Fractional positions:
1 Be 0.0000 0.0000 0.0000  8 Be 2.40-2.68, 4 Cd 2.57-2.63
2 Be 0.0927 0.3546 0.7381  9 Be 2.40-2.68, 3 Cd 2.48-2.54
3 Be 0.6165 0.3546 0.2619  9 Be 2.40-2.68, 3 Cd 2.48-2.54
4 Cd 0.4923 0.9923 0.5000  10 Be 2.48-2.63, 2 Cd 2.68

=====

Record 3
Compound: Be3Cd4
Source: the Alexandria database
Functional: PBE
Structure: relaxed

Properties
SG: P6/mmm (191)
Total DFT energy (no corrections) in eV/f.u.: -12.45
Density in g/cm3: 6.83
ΔE to the lowest computed polymorph in eV/f.u.: 0.00
Formation energy from the elements in meV per atom: 342

Unit cell a=4.7346 b=4.7346 c=5.9720 alpha=90.00 beta=90.00 gamma=120.00
With the nearest neighbours (Å) after each atom.
Fractional positions:
1 Be 0.0000 0.5000 0.0000  4 Be 2.37
2 Be 0.5000 0.0000 0.0000  4 Be 2.37
3 Be 0.5000 0.5000 0.0000  4 Be 2.37
4 Cd 0.0000 0.0000 0.2379  6 Be 2.76, 1 Cd 2.84
5 Cd 0.0000 0.0000 0.7621  6 Be 2.76, 1 Cd 2.84
6 Cd 0.3333 0.6667 0.5000  3 Cd 2.73
7 Cd 0.6667 0.3333 0.5000  3 Cd 2.73

=====

Record 4
Compound: Be3Cd5
Source: the Alexandria database
Functional: PBE
Structure: relaxed

Properties
SG: P6_3/mcm (193)
Total DFT energy (no corrections) in eV/f.u.: -12.51
Density in g/cm3: 7.10
ΔE to the lowest computed polymorph in eV/f.u.: 0.24
Formation energy from the elements in meV per atom: 406

Unit cell a=7.3946 b=7.3946 c=5.8188 alpha=90.00 beta=90.00 gamma=120.00
With the nearest neighbours (Å) after each atom.
Fractional positions:
1 Be 0.0000 0.4022 0.2500  7 Cd 2.59-2.68
2 Be 0.0000 0.5978 0.7500  7 Cd 2.59-2.68
3 Be 0.4022 0.0000 0.2500  7 Cd 2.59-2.68
4 Be 0.4022 0.4022 0.7500  7 Cd 2.59-2.68
5 Be 0.5978 0.0000 0.7500  7 Cd 2.59-2.68
6 Be 0.5978 0.5978 0.2500  7 Cd 2.59-2.68
7 Cd 0.0000 0.2371 0.7500  3 Be 2.59-2.67
8 Cd 0.0000 0.7629 0.2500  3 Be 2.59-2.67
9 Cd 0.2371 0.0000 0.7500  3 Be 2.59-2.67
10 Cd 0.2371 0.2371 0.2500  3 Be 2.59-2.67
11 Cd 0.3333 0.6667 0.0000  6 Be 2.68, 2 Cd 2.91
12 Cd 0.3333 0.6667 0.5000  6 Be 2.68, 2 Cd 2.91
13 Cd 0.6667 0.3333 0.0000  6 Be 2.68, 2 Cd 2.91
14 Cd 0.6667 0.3333 0.5000  6 Be 2.68, 2 Cd 2.91
15 Cd 0.7629 0.0000 0.2500  3 Be 2.59-2.67
16 Cd 0.7629 0.7629 0.7500  3 Be 2.59-2.67

=====

Record 5
Compound: Be3Cd2
Source: the Alexandria database
Functional: PBE
Structure: relaxed

Properties
SG: P-3m1 (164)
Total DFT energy (no corrections) in eV/f.u.: -10.05
Density in g/cm3: 5.54
ΔE to the lowest computed polymorph in eV/f.u.: 0.57
Formation energy from the elements in meV per atom: 591

Unit cell a=4.1405 b=4.1405 c=5.0885 alpha=90.00 beta=90.00 gamma=120.00
With the nearest neighbours (Å) after each atom.
Fractional positions:
1 Be 0.0000 0.0000 0.0000  6 Cd 2.55
2 Be 0.3333 0.6667 0.3575  4 Cd 2.39-2.57
3 Be 0.6667 0.3333 0.6425  4 Cd 2.39-2.57
4 Cd 0.3333 0.6667 0.8266  7 Be 2.39-2.57
5 Cd 0.6667 0.3333 0.1734  7 Be 2.39-2.57

=====

Record 6
Compound: BeCd3
Source: the Alexandria database
Functional: PBE
Structure: relaxed

Properties
SG: P2/m (10)
Total DFT energy (no corrections) in eV/f.u.: -5.22
Density in g/cm3: 7.41
ΔE to the lowest computed polymorph in eV/f.u.: 0.45
Formation energy from the elements in meV per atom: 313

Unit cell a=3.3008 b=4.4151 c=5.4087 alpha=90.00 beta=100.33 gamma=90.00
With the nearest neighbours (Å) after each atom.
Fractional positions:
1 Be 0.0000 0.0000 0.0000  6 Cd 2.67-2.70
2 Cd 0.0000 0.0000 0.5000  2 Be 2.70, 4 Cd 2.97
3 Cd 0.3329 0.5000 0.2284  2 Be 2.67, 4 Cd 2.88-2.97
4 Cd 0.6671 0.5000 0.7716  2 Be 2.67, 4 Cd 2.88-2.97

=====

Record 7
Compound: BeCd
Source: the Alexandria database
Functional: PBE
Structure: relaxed

Properties
SG: R-3m (166)
Total DFT energy (no corrections) in eV/f.u.: -3.88
Density in g/cm3: 6.32
ΔE to the lowest computed polymorph in eV/f.u.: 0.22
Formation energy from the elements in meV per atom: 379

Unit cell a=5.1906 b=5.1906 c=5.1906 alpha=45.06 beta=45.06 gamma=45.06
With the nearest neighbours (Å) after each atom.
Fractional positions:
1 Be 0.1769 0.1769 0.1769  3 Be 2.31
2 Be 0.8231 0.8231 0.8231  3 Be 2.31
3 Cd 0.3974 0.3974 0.3974  6 Be 2.63-2.79, 4 Cd 2.87-2.91
4 Cd 0.6026 0.6026 0.6026  6 Be 2.63-2.79, 4 Cd 2.87-2.91

=====

Record 8
Compound: Be3Cd
Source: the Alexandria database
Functional: PBE
Structure: relaxed

Properties
SG: P-6m2 (187)
Total DFT energy (no corrections) in eV/f.u.: -10.24
Density in g/cm3: 4.73
ΔE to the lowest computed polymorph in eV/f.u.: 0.73
Formation energy from the elements in meV per atom: 463

Unit cell a=2.6870 b=2.6870 c=7.8320 alpha=90.00 beta=90.00 gamma=120.00
With the nearest neighbours (Å) after each atom.
Fractional positions:
1 Be 0.0000 0.0000 0.0000  6 Be 2.25
2 Be 0.3333 0.6667 0.2084  3 Be 2.25
3 Be 0.3333 0.6667 0.7916  3 Be 2.25
4 Cd 0.0000 0.0000 0.5000  6 Cd 2.69, 6 Be 2.76

=====

Record 9
Compound: BeCd
Source: the Alexandria database
Functional: PBE
Structure: relaxed

Properties
SG: P6_3/mmc (194)
Total DFT energy (no corrections) in eV/f.u.: -3.40
Density in g/cm3: 6.23
ΔE to the lowest computed polymorph in eV/f.u.: 0.70
Formation energy from the elements in meV per atom: 622

Unit cell a=3.3233 b=3.3233 c=6.7641 alpha=90.00 beta=90.00 gamma=120.00
With the nearest neighbours (Å) after each atom.
Fractional positions:
1 Be 0.3333 0.6667 0.2500  6 Cd 2.56
2 Be 0.6667 0.3333 0.7500  6 Cd 2.56
3 Cd 0.0000 0.0000 0.0000  6 Be 2.56
4 Cd 0.0000 0.0000 0.5000  6 Be 2.56

=====

Record 10
Compound: BeCd3
Source: the Alexandria database
Functional: PBE
Structure: relaxed

Properties
SG: Cmmm (65)
Total DFT energy (no corrections) in eV/f.u.: -5.10
Density in g/cm3: 7.40
ΔE to the lowest computed polymorph in eV/f.u.: 0.58
Formation energy from the elements in meV per atom: 344

Unit cell a=4.7763 b=4.7763 c=3.5693 alpha=90.00 beta=90.00 gamma=107.44
With the nearest neighbours (Å) after each atom.
Fractional positions:
1 Be 0.0000 0.0000 0.0000  10 Cd 2.83-2.98
2 Cd 0.0000 0.5000 0.5000  6 Cd 2.83-2.98, 4 Be 2.98
3 Cd 0.5000 0.0000 0.5000  6 Cd 2.83-2.98, 4 Be 2.98
4 Cd 0.5000 0.5000 0.0000  2 Be 2.83, 8 Cd 2.98

=====

Record 11
Compound: Be5Cd
Source: the Alexandria database
Functional: PBE
Structure: relaxed

Properties
SG: Amm2 (38)
Total DFT energy (no corrections) in eV/f.u.: -17.84
Density in g/cm3: 4.08
ΔE to the lowest computed polymorph in eV/f.u.: 0.49
Formation energy from the elements in meV per atom: 284

Unit cell a=3.5733 b=6.9945 c=6.9945 alpha=21.50 beta=90.00 gamma=90.00
With the nearest neighbours (Å) after each atom.
Fractional positions:
1 Be 0.0000 0.0000 0.0000  6 Be 2.20-2.24
2 Be 0.0000 0.2581 0.2581  4 Be 2.21-2.26
3 Be 0.0000 0.6287 0.6287  10 Be 2.20-2.27
4 Be 0.5000 0.1577 0.1577  8 Be 2.22-2.26
5 Be 0.5000 0.5273 0.5273  8 Be 2.22-2.27
6 Cd 0.5000 0.8544 0.8544  8 Be 2.58-2.71, 2 Cd 2.61

=====

Record 12
Compound: Be3Cd
Source: the Alexandria database
Functional: PBE
Structure: relaxed

Properties
SG: P6_3/mmc (194)
Total DFT energy (no corrections) in eV/f.u.: -10.94
Density in g/cm3: 4.96
ΔE to the lowest computed polymorph in eV/f.u.: 0.03
Formation energy from the elements in meV per atom: 288

Unit cell a=5.4403 b=5.4403 c=3.6392 alpha=90.00 beta=90.00 gamma=120.00
With the nearest neighbours (Å) after each atom.
Fractional positions:
1 Be 0.1347 0.2694 0.2500  6 Be 2.20-2.22
2 Be 0.1347 0.8653 0.2500  6 Be 2.20-2.22
3 Be 0.2694 0.1347 0.7500  6 Be 2.20-2.22
4 Be 0.7306 0.8653 0.2500  6 Be 2.20-2.22
5 Be 0.8653 0.1347 0.7500  6 Be 2.20-2.22
6 Be 0.8653 0.7306 0.7500  6 Be 2.20-2.22
7 Cd 0.3333 0.6667 0.7500  12 Be 2.61-2.74
8 Cd 0.6667 0.3333 0.2500  12 Be 2.61-2.74

=====

Record 13
Compound: BeCd3
Source: the Alexandria database
Functional: PBE
Structure: relaxed

Properties
SG: C2/m (12)
Total DFT energy (no corrections) in eV/f.u.: -5.06
Density in g/cm3: 7.51
ΔE to the lowest computed polymorph in eV/f.u.: 0.61
Formation energy from the elements in meV per atom: 353

Unit cell a=4.2751 b=4.2751 c=4.8633 alpha=110.86 beta=110.86 gamma=90.83
With the nearest neighbours (Å) after each atom.
Fractional positions:
1 Be 0.0000 0.0000 0.0000  8 Cd 2.83-3.04
2 Cd 0.2380 0.7620 0.5000  2 Be 2.83, 7 Cd 2.90-3.10
3 Cd 0.5000 0.5000 0.0000  8 Cd 2.91-3.10, 4 Be 3.00-3.04
4 Cd 0.7620 0.2380 0.5000  2 Be 2.83, 7 Cd 2.90-3.10

=====

Record 14
Compound: Be5Cd
Source: the Alexandria database
Functional: PBE
Structure: relaxed

Properties
SG: P6/mmm (191)
Total DFT energy (no corrections) in eV/f.u.: -18.33
Density in g/cm3: 4.19
ΔE to the lowest computed polymorph in eV/f.u.: 0.00
Formation energy from the elements in meV per atom: 203

Unit cell a=4.4546 b=4.4546 c=3.6304 alpha=90.00 beta=90.00 gamma=120.00
With the nearest neighbours (Å) after each atom.
Fractional positions:
1 Be 0.0000 0.5000 0.0000  8 Be 2.22-2.23
2 Be 0.3333 0.6667 0.5000  6 Be 2.22
3 Be 0.5000 0.0000 0.0000  8 Be 2.22-2.23
4 Be 0.5000 0.5000 0.0000  8 Be 2.22-2.23
5 Be 0.6667 0.3333 0.5000  6 Be 2.22
6 Cd 0.0000 0.0000 0.5000  18 Be 2.57-2.87

=====

Record 15
Compound: BeCd
Source: the Alexandria database
Functional: PBE
Structure: relaxed

Properties
SG: R-3m (166)
Total DFT energy (no corrections) in eV/f.u.: -3.75
Density in g/cm3: 6.34
ΔE to the lowest computed polymorph in eV/f.u.: 0.35
Formation energy from the elements in meV per atom: 443

Unit cell a=8.9372 b=8.9372 c=8.9372 alpha=18.62 beta=18.62 gamma=18.62
With the nearest neighbours (Å) after each atom.
Fractional positions:
1 Be 0.1386 0.1386 0.1386  3 Be 2.23
2 Be 0.8614 0.8614 0.8614  3 Be 2.23
3 Cd 0.3885 0.3885 0.3885  3 Be 2.76, 6 Cd 2.89
4 Cd 0.6115 0.6115 0.6115  3 Be 2.76, 6 Cd 2.89

=====

Record 16
Compound: BeCd
Source: the Alexandria database
Functional: PBE
Structure: relaxed

Properties
SG: Pnma (62)
Total DFT energy (no corrections) in eV/f.u.: -4.10
Density in g/cm3: 6.13
ΔE to the lowest computed polymorph in eV/f.u.: 0.00
Formation energy from the elements in meV per atom: 270

Unit cell a=9.0062 b=3.8189 c=7.6567 alpha=90.00 beta=90.00 gamma=90.00
With the nearest neighbours (Å) after each atom.
Fractional positions:
1 Be 0.0276 0.2500 0.0613  5 Be 2.11-2.26
2 Be 0.1544 0.7500 0.1116  3 Be 2.11-2.26
3 Be 0.3456 0.2500 0.6116  3 Be 2.11-2.26
4 Be 0.4724 0.7500 0.5613  5 Be 2.11-2.26
5 Be 0.5276 0.2500 0.4387  5 Be 2.11-2.26
6 Be 0.6544 0.7500 0.3883  3 Be 2.11-2.26
7 Be 0.8456 0.2500 0.8884  3 Be 2.11-2.26
8 Be 0.9724 0.7500 0.9387  5 Be 2.11-2.26
9 Cd 0.0712 0.2500 0.6911  4 Be 2.53-2.83
10 Cd 0.2003 0.2500 0.3368  4 Be 2.48-2.62
11 Cd 0.2997 0.7500 0.8368  4 Be 2.48-2.62
12 Cd 0.4288 0.7500 0.1911  4 Be 2.53-2.83
13 Cd 0.5712 0.2500 0.8089  4 Be 2.53-2.83
14 Cd 0.7003 0.2500 0.1632  4 Be 2.48-2.62
15 Cd 0.7997 0.7500 0.6632  4 Be 2.48-2.62
16 Cd 0.9288 0.7500 0.3089  4 Be 2.53-2.83

=====

Record 17
Compound: BeCd
Source: the Alexandria database
Functional: PBE
Structure: relaxed

Properties
SG: P6_3/mmc (194)
Total DFT energy (no corrections) in eV/f.u.: -3.91
Density in g/cm3: 6.18
ΔE to the lowest computed polymorph in eV/f.u.: 0.19
Formation energy from the elements in meV per atom: 366

Unit cell a=4.2282 b=4.2282 c=4.2127 alpha=90.00 beta=90.00 gamma=120.00
With the nearest neighbours (Å) after each atom.
Fractional positions:
1 Be 0.0000 0.0000 0.0000  2 Be 2.11
2 Be 0.0000 0.0000 0.5000  2 Be 2.11
3 Cd 0.3333 0.6667 0.2500  6 Be 2.66
4 Cd 0.6667 0.3333 0.7500  6 Be 2.66

=====

Record 18
Compound: Be3Cd
Source: the Alexandria database
Functional: PBE
Structure: relaxed

Properties
SG: C2/m (12)
Total DFT energy (no corrections) in eV/f.u.: -10.51
Density in g/cm3: 4.49
ΔE to the lowest computed polymorph in eV/f.u.: 0.45
Formation energy from the elements in meV per atom: 395

Unit cell a=3.9299 b=3.9299 c=5.6364 alpha=105.26 beta=105.26 gamma=38.05
With the nearest neighbours (Å) after each atom.
Fractional positions:
1 Be 0.0000 0.0000 0.0000  6 Be 2.23-2.24
2 Be 0.2490 0.2490 0.8505  5 Be 2.11-2.24
3 Be 0.7510 0.7510 0.1495  5 Be 2.11-2.24
4 Cd 0.5000 0.5000 0.5000  2 Cd 2.56, 4 Be 2.63

=====

Record 19
Compound: BeCd3
Source: the Alexandria database
Functional: PBE
Structure: relaxed

Properties
SG: P4/mmm (123)
Total DFT energy (no corrections) in eV/f.u.: -5.43
Density in g/cm3: 7.62
ΔE to the lowest computed polymorph in eV/f.u.: 0.24
Formation energy from the elements in meV per atom: 261

Unit cell a=3.0448 b=3.0448 c=8.1388 alpha=90.00 beta=90.00 gamma=90.00
With the nearest neighbours (Å) after each atom.
Fractional positions:
1 Be 0.0000 0.0000 0.0000  8 Cd 2.69
2 Cd 0.0000 0.0000 0.5000  12 Cd 3.04-3.26
3 Cd 0.5000 0.5000 0.1987  4 Be 2.69
4 Cd 0.5000 0.5000 0.8013  4 Be 2.69

=====

Record 20
Compound: BeCd3
Source: the Alexandria database
Functional: PBE
Structure: relaxed

Properties
SG: Pm-3m (221)
Total DFT energy (no corrections) in eV/f.u.: -5.20
Density in g/cm3: 5.33
ΔE to the lowest computed polymorph in eV/f.u.: 0.47
Formation energy from the elements in meV per atom: 317

Unit cell a=4.7617 b=4.7617 c=4.7617 alpha=90.00 beta=90.00 gamma=90.00
With the nearest neighbours (Å) after each atom.
Fractional positions:
1 Be 0.0000 0.0000 0.0000  6 Cd 2.38
2 Cd 0.0000 0.0000 0.5000  2 Be 2.38
3 Cd 0.0000 0.5000 0.0000  2 Be 2.38
4 Cd 0.5000 0.0000 0.0000  2 Be 2.38